i.
DFT (PBE with a Hubbard U) results for a relaxed Fe2BAuF crystal.

Cell: 4.3721 4.3721 3.8020 Å, 90.00 90.00 90.00°
Last column: magnetic moment on the atom in μB.
Atoms (fractional coordinates):
1 Au 0.5000 0.5000 0.5000  0.08
2 F 0.0000 0.0000 0.5000  0.05
3 Fe 0.5000 0.0000 0.0000  3.67
4 Fe 0.0000 0.5000 0.0000  3.67
5 B 0.0000 0.0000 0.0000  -0.14

Summary:
- calculated volume (A^3/atom) = 14.54
- ρ (g/cm3) = 7.73
- crystal system = tetragonal
- SG = No. 123

***

ii.
DFT (PBE with a Hubbard U) results for a relaxed Fe2BAuF crystal.

Cell: 5.0785 4.2624 5.0785 Å, 90.00 90.00 90.00°
Last column: magnetic moment on the atom in μB.
Atoms (fractional coordinates):
1 F 0.0000 0.5000 0.0000  0.02
2 B 0.5000 0.5000 0.5000  -0.25
3 Fe 0.0000 0.0000 0.5000  3.80
4 Fe 0.5000 0.0000 0.0000  3.76
5 Au 0.0000 0.0000 0.0000  0.07

Summary:
- calculated volume (A^3/atom) = 21.99
- ρ (g/cm3) = 5.11
- crystal system = tetragonal
- SG = No. 123

***

Looking at the structures above, i is most stable, and the difference to the next one is 920 meV/atom.